Record 1
CoMo2HAu | PBE | relaxed

```
CoMo2HAu
1.0
3.909 0.000 0.000
0.000 3.909 0.000
0.000 0.000 4.063
Co Mo H Au
1 2 1 1
Cartesian
0.000 0.000 0.000
0.000 1.954 2.031
1.954 0.000 2.031
0.000 0.000 2.031
1.954 1.954 0.000
```

Computed properties:
density	12008	kg/m³
crystal system	tetragonal
E	-34.547	eV/cell
M_tot	0.3489	μB per atom
symmetry	P4/mmm (123)

Record 2
Na2CoH6Au | PBE | relaxed

```
Na2CoH6Au
1.0
4.997 0.000 0.000
-2.499 4.328 0.000
0.000 0.000 5.073
Na Co H Au
2 1 6 1
Cartesian
0.000 2.885 1.576
2.499 1.443 3.497
0.000 0.000 2.537
0.000 1.294 3.398
-1.378 3.681 3.398
1.121 0.647 1.676
1.378 3.681 3.398
3.877 0.647 1.676
2.499 3.034 1.676
0.000 0.000 0.000
```

Computed properties:
density	4660	kg/m³
crystal system	trigonal
E	-34.582	eV/cell
M_tot	0.0000	μB per atom
symmetry	P-3m1 (164)

Record 3
Co2NiHAu | PBE | relaxed

```
Co2NiHAu
1.0
3.726 0.000 0.000
0.000 3.726 0.000
0.000 0.000 3.787
Co Ni H Au
2 1 1 1
Cartesian
0.000 1.863 0.000
1.863 0.000 0.000
0.000 0.000 1.894
0.000 0.000 0.000
1.863 1.863 1.894
```

Computed properties:
density	11827	kg/m³
crystal system	tetragonal
E	-26.033	eV/cell
M_tot	0.6883	μB per atom
symmetry	P4/mmm (123)

Record 4
CoPH2Au | PBE | relaxed

```
CoPH2Au
1.0
3.434 0.000 0.000
0.000 3.434 0.000
0.000 0.000 5.193
Co P H Au
1 1 2 1
Cartesian
0.000 0.000 0.000
1.717 1.717 2.597
0.000 1.717 0.000
1.717 0.000 0.000
0.000 0.000 2.597
```

Computed properties:
density	7833	kg/m³
crystal system	tetragonal
E	-19.354	eV/cell
M_tot	0.1446	μB per atom
symmetry	P4/mmm (123)

> Among the records above, which one has the highest density?

CoMo2HAu